VASP calculation (PBEsol) on an optimized crystal structure of TlCdPb2.

a = 3.440 Å, b = 3.440 Å, c = 9.219 Å
α = 90.00°, β = 90.00°, γ = 90.00°
Fractional positions:
Tl 0.000 0.000 0.000
Cd 0.000 0.000 0.500
Pb 0.500 0.500 0.269
Pb 0.500 0.500 0.731

Summary:
* VASP energy: -11.7 eV/cell
* symmetry: No. 123
* M_tot: 0.00 Bohr magnetons per cell